VASP calculation (GGA+U) on a relaxed structure of HfCoN2O.

Structure (POSCAR):
```
HfCoN2O
1.0
4.1826 0.0000 0.0000
0.0000 4.1826 0.0000
0.0000 0.0000 4.0423
Hf Co N O
1 1 2 1
Direct
0.0000 0.0000 0.0000
0.5000 0.5000 0.5000
0.0000 0.5000 0.0000
0.5000 0.0000 0.0000
0.0000 0.0000 0.5000
```

Properties
Space group = P4/mmm
Energy = -7.313 eV per atom

***

VASP calculation (GGA+U) on a relaxed structure of HfCoN2O.

Structure (POSCAR):
```
HfCoN2O
1.0
3.6513 0.0000 0.0000
0.0000 3.6513 0.0000
0.0000 0.0000 3.6694
Hf Co N O
1 1 2 1
Direct
0.0000 0.0000 0.0000
0.5000 0.5000 0.5000
0.0000 0.5000 0.5000
0.5000 0.0000 0.5000
0.5000 0.5000 0.0000
```

Properties
Space group = P4/mmm
Energy = -7.574 eV per atom